Entry i
# AsS2Cl PBE optimized geometry
data_AsS2Cl
_chemical_formula_sum 'As4 S8 Cl4'
_cell_length_a 6.898
_cell_length_b 6.898
_cell_length_c 7.646
_cell_angle_alpha 90.00
_cell_angle_beta 90.00
_cell_angle_gamma 90.00
_space_group_name_H-M_alt 'I -4 2 d'
_space_group_IT_number 122
_space_group_name_Hall 'I -4 2bw'
loop_
_atom_site_label
_atom_site_fract_x
_atom_site_fract_y
_atom_site_fract_z
_atom_site_occupancy
As1 0.000 0.000 0.000 1
S1 0.184 0.250 0.125 1
Cl1 0.000 0.000 0.500 1
# total moment = 0.0 μB per cell

***

Entry ii
# AsS2Cl PBE optimized geometry
data_AsS2Cl
_chemical_formula_sum 'As4 S8 Cl4'
_cell_length_a 7.278
_cell_length_b 5.276
_cell_length_c 13.050
_cell_angle_alpha 90.00
_cell_angle_beta 97.45
_cell_angle_gamma 90.00
_space_group_name_H-M_alt 'P 1 21/c 1'
_space_group_IT_number 14
loop_
_space_group_symop_operation_xyz
'x,y,z'
'-x,-y,-z'
'-x,y+1/2,-z+1/2'
'x,-y+1/2,z+1/2'
loop_
_atom_site_label
_atom_site_fract_x
_atom_site_fract_y
_atom_site_fract_z
_atom_site_occupancy
As1 0.224 0.195 0.397 1
S1 0.029 0.683 0.527 1
S2 0.471 0.188 0.017 1
Cl1 0.234 0.504 0.282 1
# total moment = 0.0 μB per cell

***

Most stable structure among those shown: entry ii. Next: +440 meV/atom.